Entry from Alexandria via LeMat-Bulk: Pm2NdOsO8 after structural relaxation (GGA-PBE).

Properties
- crystal system = orthorhombic
- uncorrected formation energy (meV per atom) = -2429
- size of the total moment (μB/f.u.) = 1.05
- space group = Cmmm (65)
- calculated volume (Å³/atom) = 15.7

abc: 5.1799 5.1807 7.0014
angles: 90.00 90.00 89.73
Each line ends with the local moment (μB).
Fractional positions:
Pm1 0.5000 0.5000 0.7499  0.02
Pm2 0.5000 0.5000 0.2501  0.02
Nd1 0.0000 0.0000 0.5000  0.02
Os1 0.0000 0.0000 0.0000  0.68
O1 0.1804 0.8189 0.2026  0.06
O2 0.7451 0.7462 0.0000  -0.01
O3 0.8197 0.1811 0.2027  0.06
O4 0.8196 0.1811 0.7974  0.06
O5 0.2549 0.2538 0.0000  -0.01
O6 0.1803 0.8189 0.7973  0.06
O7 0.6884 0.6887 0.5000  0.00
O8 0.3116 0.3113 0.5000  0.00

=====

Entry from Alexandria via LeMat-Bulk: HgPbS2N after structural relaxation (GGA-PBE).

Properties
- crystal system = tetragonal
- uncorrected formation energy (meV per atom) = 1026
- size of the total moment (μB/f.u.) = 2.04
- excess energy over the best structure of this formula in the dataset (kcal/mol of atoms) = 0.00
- space group = P4/mmm (123)
- calculated volume (Å³/atom) = 28.4

abc: 5.6366 5.6366 4.4638
angles: 90.00 90.00 90.00
Each line ends with the local moment (μB).
Fractional positions:
Pb1 0.5000 0.5000 0.5000  -0.01
S1 0.0000 0.5000 0.0000  0.09
S2 0.5000 0.0000 0.0000  0.09
Hg1 0.0000 0.0000 0.0000  0.02
N1 0.0000 0.0000 0.5000  1.20

=====

Entry from Alexandria via LeMat-Bulk: Mg2MoRu after structural relaxation (GGA-PBE).

Properties
- crystal system = monoclinic
- formation energy (eV per formula unit) = 1.0
- size of the total moment (μB/f.u.) = 0.40
- excess energy over the best structure of this formula in the dataset (kcal/mol of atoms) = 5.92
- space group = P2/m (10)
- calculated volume (Å³/atom) = 16.3

abc: 4.5331 2.7651 5.3907
angles: 74.30 90.00 90.00
Each line ends with the local moment (μB).
Fractional positions:
Mg1 0.0000 0.9543 0.9933  0.00
Mg2 0.0000 0.5457 0.5067  0.00
Mo1 0.5000 0.2500 0.2500  -0.03
Ru1 0.5000 0.7500 0.7500  0.44

=====

Entry from Alexandria via LeMat-Bulk: Na2V2Mo after structural relaxation (GGA-PBE).

Properties
- crystal system = tetragonal
- formation energy (eV per formula unit) = 7.1
- size of the total moment (μB/f.u.) = 2.36
- excess energy over the best structure of this formula in the dataset (kcal/mol of atoms) = 4.73
- space group = P4/mbm (127)
- calculated volume (Å³/atom) = 17.8

abc: 8.4181 8.4181 2.5082
angles: 90.00 90.00 90.00
Each line ends with the local moment (μB).
Fractional positions:
Na1 0.3933 0.8933 0.0000  0.01
Na2 0.8933 0.6067 0.0000  0.01
Na3 0.6067 0.1067 0.0000  0.01
Na4 0.1067 0.3933 0.0000  0.01
Mo1 0.0000 0.0000 0.0000  -0.34
Mo2 0.5000 0.5000 0.0000  -0.34
V1 0.1967 0.6967 0.5000  1.15
V2 0.6967 0.8033 0.5000  1.15
V3 0.8033 0.3033 0.5000  1.15
V4 0.3033 0.1967 0.5000  1.15

=====

Entry from Alexandria via LeMat-Bulk: AcZnAs after structural relaxation (GGA-PBE).

Properties
- crystal system = trigonal
- formation energy (eV per formula unit) = -2.3
- size of the total moment (μB/f.u.) = 0.00
- excess energy over the best structure of this formula in the dataset (kcal/mol of atoms) = 0.53
- space group = P3m1 (156)
- calculated volume (Å³/atom) = 25.7

abc: 4.6379 4.3777 4.3777
angles: 120.00 90.00 90.00
Fractional positions:
Zn1 0.2429 0.3333 0.6667
Ac1 0.6498 0.6667 0.3333
As1 0.1073 0.0000 0.0000

=====

Entry from Alexandria via LeMat-Bulk: Zn3GaO3 after structural relaxation (GGA-PBE).

Properties
- crystal system = cubic
- uncorrected formation energy (meV per atom) = -923
- size of the total moment (μB/f.u.) = 0.00
- space group = Pm-3n (223)
- calculated volume (Å³/atom) = 13.9

abc: 5.7927 5.7927 5.7927
angles: 90.00 90.00 90.00
Fractional positions:
Zn1 0.2500 0.0000 0.5000
Zn2 0.7500 0.0000 0.5000
Zn3 0.0000 0.5000 0.2500
Zn4 0.0000 0.5000 0.7500
Zn5 0.5000 0.2500 0.0000
Zn6 0.5000 0.7500 0.0000
Ga1 0.0000 0.0000 0.0000
Ga2 0.5000 0.5000 0.5000
O1 0.2500 0.5000 0.0000
O2 0.7500 0.5000 0.0000
O3 0.5000 0.0000 0.2500
O4 0.5000 0.0000 0.7500
O5 0.0000 0.2500 0.5000
O6 0.0000 0.7500 0.5000